This record from Alexandria via LeMat-Bulk describes NdSbS3 after structural relaxation. The functional is GGA-PBE.

Values from the calculation:
V, A^3/atom: 29.3
Crystal system: monoclinic
Density of states at the Fermi level, states/eV/cell: 0.0
Excess energy over the best structure of this formula in the dataset, meV per atom: 0
Raw formation energy, eV per atom: -1.110

Cell lengths 7.8373, 7.1087, 10.5238 Å; angles 90.00, 91.84, 90.00 degrees
Closest atoms and distances in Å follow each position.
Space group P2_1/c (No. 14)
Asymmetric unit:
Nd  0.0207  0.2232  0.1364 [4 per cell]  7 S 2.84-3.07
Sb  0.3677  0.6914  0.6143 [4 per cell]  3 S 2.45-2.50
S  0.1020  0.6160  0.1178 [4 per cell]  1 Sb 2.49
S  0.2370  0.0285  0.9534 [4 per cell]  1 Sb 2.50
S  0.2630  0.5037  0.7905 [4 per cell]  1 Sb 2.45

=====

This record from Alexandria via LeMat-Bulk describes SrZn2Tc after structural relaxation. The functional is GGA-PBE.

Values from the calculation:
V, A^3/atom: 19.7
ΔE_f, eV per atom: 0.657
Crystal system: cubic
Density of states at the Fermi level, states/eV/cell: 28.6
Excess energy over the best structure of this formula in the dataset, meV per atom: 463

Cell lengths 6.8068, 6.8068, 6.8068 Å; angles 90.00, 90.00, 90.00 degrees
Closest atoms and distances in Å follow each position.
Space group F-43m (No. 216)
Asymmetric unit:
Sr  0.0000  0.0000  0.0000 [4 per cell]  4 Tc 2.95, 4 Zn 2.95
Zn  0.0000  0.0000  0.5000 [4 per cell]  4 Zn 2.95, 4 Tc 2.95
Zn  0.2500  0.2500  0.2500 [4 per cell]  4 Sr 2.95, 4 Zn 2.95
Tc  0.2500  0.2500  0.7500 [4 per cell]  4 Sr 2.95, 4 Zn 2.95

=====

This record from Alexandria via LeMat-Bulk describes Cd6GaAg5 after structural relaxation. The functional is GGA-PBE.

Values from the calculation:
V, A^3/atom: 19.6
ΔE_f, eV per atom: -0.003
Crystal system: monoclinic
Density of states at the Fermi level, states/eV/cell: 4.8
Excess energy over the best structure of this formula in the dataset, meV per atom: 21

Cell lengths 5.2729, 9.1018, 10.0058 Å; angles 90.00, 101.28, 90.00 degrees
Closest atoms and distances in Å follow each position.
Space group C2/m (No. 12)
Asymmetric unit:
Cd  0.2469  0.0000  0.2547 [4 per cell]  5 Ag 2.97-3.03, 6 Cd 3.02-3.06, 1 Ga 3.10
Cd  0.2499  0.1680  0.7469 [8 per cell]  5 Ag 2.97-3.08, 6 Cd 3.02-3.06, 1 Ga 3.03
Ga  0.0000  0.5000  0.0000 [2 per cell]  6 Cd 3.03-3.10, 6 Ag 3.04
Ag  0.0000  0.0000  0.5000 [2 per cell]  6 Cd 2.98-3.00, 6 Ag 3.03-3.04
Ag  0.0000  0.1659  0.0000 [4 per cell]  3 Ag 3.02-3.05, 6 Cd 3.02-3.08, 3 Ga 3.04
Ag  0.0000  0.3329  0.5000 [4 per cell]  6 Cd 2.97-3.02, 6 Ag 3.03-3.04

=====

What did the third record say?
This record from Alexandria via LeMat-Bulk describes Cd6GaAg5 after structural relaxation. The functional is GGA-PBE.

Values from the calculation:
V, A^3/atom: 19.6
ΔE_f, eV per atom: -0.003
Crystal system: monoclinic
Density of states at the Fermi level, states/eV/cell: 4.8
Excess energy over the best structure of this formula in the dataset, meV per atom: 21

Cell lengths 5.2729, 9.1018, 10.0058 Å; angles 90.00, 101.28, 90.00 degrees
Closest atoms and distances in Å follow each position.
Space group C2/m (No. 12)
Asymmetric unit:
Cd  0.2469  0.0000  0.2547 [4 per cell]  5 Ag 2.97-3.03, 6 Cd 3.02-3.06, 1 Ga 3.10
Cd  0.2499  0.1680  0.7469 [8 per cell]  5 Ag 2.97-3.08, 6 Cd 3.02-3.06, 1 Ga 3.03
Ga  0.0000  0.5000  0.0000 [2 per cell]  6 Cd 3.03-3.10, 6 Ag 3.04
Ag  0.0000  0.0000  0.5000 [2 per cell]  6 Cd 2.98-3.00, 6 Ag 3.03-3.04
Ag  0.0000  0.1659  0.0000 [4 per cell]  3 Ag 3.02-3.05, 6 Cd 3.02-3.08, 3 Ga 3.04
Ag  0.0000  0.3329  0.5000 [4 per cell]  6 Cd 2.97-3.02, 6 Ag 3.03-3.04